NdSmZr2Bi2 | PBE | relaxed

Properties
Raw total energy = -6.36 eV/atom

Cell: 9.165 9.165 9.165 Å, 152.32 152.32 39.55°
Atoms (fractional coordinates):
Bi (0.131, 0.131, 0.000)
Bi (0.870, 0.870, 0.000)
Nd (0.323, 0.323, 0.000)
Sm (0.676, 0.676, 0.000)
Zr (0.500, 0.000, 0.500)
Zr (0.000, 0.500, 0.500)

---

YInAg2 | PBE | relaxed

Properties
Raw total energy = -3.92 eV/atom

Cell: 3.535 3.535 7.013 Å, 90.00 90.00 90.00°
Atoms (fractional coordinates):
Ag (0.500, 0.500, 0.239)
Ag (0.500, 0.500, 0.761)
In (0.000, 0.000, 0.000)
Y (0.000, 0.000, 0.500)

---

Hf2Zr4Zn3C3 | PBE | relaxed

Properties
Raw total energy = -7.65 eV/atom

Cell: 5.723 5.723 14.710 Å, 101.49 101.49 59.95°
Atoms (fractional coordinates):
C (0.666, 0.168, 0.000)
C (0.000, 0.500, 0.000)
C (0.334, 0.832, 0.000)
C (0.168, 0.666, 0.500)
C (0.500, 0.000, 0.500)
C (0.832, 0.334, 0.500)
Hf (0.359, 0.528, 0.083)
Hf (0.472, 0.641, 0.417)
Hf (0.528, 0.359, 0.583)
Hf (0.641, 0.472, 0.917)
Zn (0.413, 0.295, 0.250)
Zn (0.125, 0.875, 0.250)
Zn (0.705, 0.587, 0.250)
Zn (0.295, 0.413, 0.750)
Zn (0.875, 0.125, 0.750)
Zn (0.587, 0.705, 0.750)
Zr (0.034, 0.196, 0.092)
Zr (0.698, 0.868, 0.092)
Zr (0.132, 0.302, 0.408)
Zr (0.804, 0.966, 0.408)
Zr (0.196, 0.034, 0.592)
Zr (0.868, 0.698, 0.592)
Zr (0.302, 0.132, 0.908)
Zr (0.966, 0.804, 0.908)

---

HfPaRe | PBE | relaxed

Properties
Excess energy over the best structure of this formula in the dataset = 0.000 eV per atom
E_form = 660.0 meV per atom

Cell: 4.570 4.570 4.570 Å, 60.00 60.00 60.00°
Atoms (fractional coordinates):
Hf (0.000, 0.000, 0.000)
Pa (0.250, 0.250, 0.250)
Re (0.750, 0.750, 0.750)